[1]
Below is a relaxed structure of U6C5O, with properties calculated at the PBE level.

a b c (Å): 6.042 10.478 6.047
angles (deg): 90.00 109.49 90.00
Space group C2/m (No. 12)
Unique sites:
1 U 0.250 0.000 0.249
2 U 0.250 0.167 0.750
3 C 0.000 0.168 0.000
4 C 0.000 0.334 0.500
5 C 0.000 0.500 0.000
6 O 0.000 0.000 0.500


[2]
Below is a relaxed structure of UCO5, with properties calculated at the PBE level.

a b c (Å): 4.892 9.711 4.346
angles (deg): 90.00 90.00 90.00
Space group Pmmn (No. 59, origin choice 2)
Unique sites:
1 U 0.250 0.250 0.226
2 C 0.250 0.750 0.160
3 O 0.014 0.750 0.290
4 O 0.250 0.066 0.223
5 O 0.250 0.750 0.860


[3]
Below is a relaxed structure of U3C2O, with properties calculated at the PBE level.

a b c (Å): 3.477 3.477 14.805
angles (deg): 90.00 90.00 90.00
Space group I4/mmm (No. 139)
Unique sites:
1 U 0.000 0.000 0.000
2 U 0.000 0.000 0.333
3 C 0.000 0.000 0.167
4 O 0.000 0.000 0.500


Number 1: total DFT energy (no corrections) -10.426 eV per atom, D(E_F) 24.4 states/eV/f.u., E_form (uncorrected) -0.525 eV per atom. Number 2: total DFT energy (no corrections) -8.789 eV per atom, D(E_F) 0.0 states/eV/f.u., E_form (uncorrected) -2.317 eV per atom. Number 3: total DFT energy (no corrections) -10.442 eV per atom, D(E_F) 12.0 states/eV/f.u., E_form (uncorrected) -0.897 eV per atom.